# InRe2Ir

An optimized crystal structure of InRe2Ir (PBE, Alexandria via LeMat-Bulk).

The total energy comes out at -8.65 eV per atom. For the energy above the lowest structure with this stoichiometry, the calculation gives 7.91 kcal/mol of atoms.

The space group is Cmmm (No. 65) and the conventional cell measures 5.347, 8.505 and 2.824 Å, with angles of 90.00, 90.00 and 90.00 degrees. The inequivalent atoms are In at (0.000, 0.000, 0.000), Re at (0.250, 0.250, 0.500) and Ir at (0.000, 0.500, 0.000).

=====

# InRe2Ir

An optimized crystal structure of InRe2Ir (PBE, Alexandria via LeMat-Bulk).

The total energy comes out at -8.82 eV per atom. For the energy above the lowest structure with this stoichiometry, the calculation gives 4.06 kcal/mol of atoms.

The space group is Cm (No. 8) and the conventional cell measures 9.255, 2.825 and 5.018 Å, with angles of 90.00, 99.73 and 90.00 degrees. The inequivalent atoms are In at (0.000, 0.000, 0.000), Re at (0.016, 0.500, 0.493), Re at (0.264, 0.500, 0.314) and Ir at (0.245, 0.000, 0.781).

=====

# InReIr2

An optimized crystal structure of InReIr2 (PBE, Alexandria via LeMat-Bulk).

The total energy comes out at -8.05 eV per atom. For the energy above the lowest structure with this stoichiometry, the calculation gives 6.33 kcal/mol of atoms.

The space group is Imm2 (No. 44) and the conventional cell measures 2.801, 4.225 and 11.840 Å, with angles of 90.00, 90.00 and 90.00 degrees. The inequivalent atoms are In at (0.000, 0.000, 0.000), Re at (0.000, 0.500, 0.267), Ir at (0.000, 0.000, 0.587) and Ir at (0.000, 0.500, 0.838).

=====

# InRe2Ir

An optimized crystal structure of InRe2Ir (PBE, Alexandria via LeMat-Bulk).

The total energy comes out at -8.20 eV per atom. For the energy above the lowest structure with this stoichiometry, the calculation gives 18.24 kcal/mol of atoms.

The space group is I-42d (No. 122) and the conventional cell measures 7.531, 7.531 and 5.207 Å, with angles of 90.00, 90.00 and 90.00 degrees. The inequivalent atoms are In at (0.000, 0.000, 0.000), Re at (0.201, 0.250, 0.625) and Ir at (0.000, 0.000, 0.500).

=====

# InRe2Ir

An optimized crystal structure of InRe2Ir (PBE, Alexandria via LeMat-Bulk).

The total energy comes out at -8.86 eV per atom. For the energy above the lowest structure with this stoichiometry, the calculation gives 3.08 kcal/mol of atoms.

The space group is C2/m (No. 12) and the conventional cell measures 9.537, 2.849 and 4.787 Å, with angles of 90.00, 100.51 and 90.00 degrees. The inequivalent atoms are In at (0.000, 0.000, 0.000), Re at (0.240, 0.000, 0.735) and Ir at (0.000, 0.500, 0.500).

=====

# InReIr3

An optimized crystal structure of InReIr3 (PBE, Alexandria via LeMat-Bulk).

The total energy comes out at -6.92 eV per atom. For the energy above the lowest structure with this stoichiometry, the calculation gives 0.00 kcal/mol of atoms.

The space group is Pm-3m (No. 221) and the conventional cell measures 4.771, 4.771 and 4.771 Å, with angles of 90.00, 90.00 and 90.00 degrees. The inequivalent atoms are In at (0.000, 0.000, 0.000), Re at (0.500, 0.500, 0.500) and Ir at (0.000, 0.500, 0.500).